No. 1
PBE-GGA Ag12H5Au3, optimized geometry; crystal system = cubic; space-group type = Ia-3d
1.0
-6.7618 6.7618 6.7618
6.7618 -6.7618 6.7618
6.7618 6.7618 -6.7618
Ag H Au
48 20 12
direct
0.0026 0.1923 0.0955 Ag
0.0026 0.3103 0.9071 Ag
0.0929 0.5955 0.4032 Ag
0.0929 0.9974 0.6897 Ag
0.0955 0.0026 0.1923 Ag
0.0955 0.5929 0.9032 Ag
0.0968 0.6923 0.6897 Ag
0.0968 0.9045 0.4071 Ag
0.1897 0.1923 0.5968 Ag
0.1897 0.4974 0.5929 Ag
0.1923 0.0955 0.0026 Ag
0.1923 0.5968 0.1897 Ag
0.3077 0.3103 0.9032 Ag
0.3077 0.4974 0.4045 Ag
0.3103 0.9032 0.3077 Ag
0.3103 0.9071 0.0026 Ag
0.4032 0.0929 0.5955 Ag
0.4032 0.8103 0.8077 Ag
0.4045 0.3077 0.4974 Ag
0.4045 0.5968 0.9071 Ag
0.4071 0.0968 0.9045 Ag
0.4071 0.8103 0.5026 Ag
0.4974 0.4045 0.3077 Ag
0.4974 0.5929 0.1897 Ag
0.5026 0.4071 0.8103 Ag
0.5026 0.5955 0.6923 Ag
0.5929 0.1897 0.4974 Ag
0.5929 0.9032 0.0955 Ag
0.5955 0.4032 0.0929 Ag
0.5955 0.6923 0.5026 Ag
0.5968 0.1897 0.1923 Ag
0.5968 0.9071 0.4045 Ag
0.6897 0.0929 0.9974 Ag
0.6897 0.0968 0.6923 Ag
0.6923 0.5026 0.5955 Ag
0.6923 0.6897 0.0968 Ag
0.8077 0.4032 0.8103 Ag
0.8077 0.9045 0.9974 Ag
0.8103 0.5026 0.4071 Ag
0.8103 0.8077 0.4032 Ag
0.9032 0.0955 0.5929 Ag
0.9032 0.3077 0.3103 Ag
0.9045 0.4071 0.0968 Ag
0.9045 0.9974 0.8077 Ag
0.9071 0.0026 0.3103 Ag
0.9071 0.4045 0.5968 Ag
0.9974 0.6897 0.0929 Ag
0.9974 0.8077 0.9045 Ag
0.0000 0.0000 0.0000 H
0.0000 0.0000 0.5000 H
0.0000 0.5000 0.0000 H
0.0000 0.5000 0.5000 H
0.1250 0.7500 0.8750 H
0.1250 0.8750 0.2500 H
0.2500 0.1250 0.8750 H
0.2500 0.6250 0.3750 H
0.3750 0.2500 0.6250 H
0.3750 0.6250 0.7500 H
0.5000 0.0000 0.0000 H
0.5000 0.0000 0.5000 H
0.5000 0.5000 0.0000 H
0.5000 0.5000 0.5000 H
0.6250 0.3750 0.2500 H
0.6250 0.7500 0.3750 H
0.7500 0.3750 0.6250 H
0.7500 0.8750 0.1250 H
0.8750 0.1250 0.7500 H
0.8750 0.2500 0.1250 H
0.1250 0.2500 0.3750 Au
0.1250 0.3750 0.7500 Au
0.2500 0.3750 0.1250 Au
0.2500 0.8750 0.6250 Au
0.3750 0.1250 0.2500 Au
0.3750 0.7500 0.1250 Au
0.6250 0.2500 0.8750 Au
0.6250 0.8750 0.7500 Au
0.7500 0.1250 0.3750 Au
0.7500 0.6250 0.8750 Au
0.8750 0.6250 0.2500 Au
0.8750 0.7500 0.6250 Au

=====

No. 2
PBE-GGA Ag2HAu2, optimized geometry; crystal system = tetragonal; E above lowest polymorph = 0.0000 eV/atom; space-group type = P4/mbm
1.0
5.5741 0.0000 0.0000
0.0000 5.5741 0.0000
0.0000 0.0000 5.1097
Ag H Au
4 2 4
direct
0.1735 0.3265 0.0000 Ag
0.3265 0.8265 0.0000 Ag
0.6735 0.1735 0.0000 Ag
0.8265 0.6735 0.0000 Ag
0.0000 0.0000 0.5000 H
0.5000 0.5000 0.5000 H
0.1770 0.6770 0.5000 Au
0.3230 0.1770 0.5000 Au
0.6770 0.8230 0.5000 Au
0.8230 0.3230 0.5000 Au

=====

Number 1: DFT total energy -2.8166 eV/atom, size of the total moment 0.000 μB/atom. Number 2: DFT total energy -2.9368 eV/atom, size of the total moment 0.000 μB/atom.